1.
Computed, not measured: crystalline ZrSc2Pa at its relaxed geometry at the GGA-PBE level of DFT.

For the energy above the most stable polymorph in this dataset, the calculation gives 0 meV/atom.

Cell lengths 3.1917, 3.1917, 32.3239 Å; angles 90.00, 90.00, 120.00 degrees
Closest atoms and distances in Å follow each position.
Space group R3m (No. 160, hexagonal axes)
Unique sites:
Zr1 0.0000 0.0000 0.0000 x3  6 Zr 3.19, 6 Sc 3.20-3.23
Sc1 0.0000 0.0000 0.4154 x3  6 Sc 3.19, 3 Zr 3.23, 3 Pa 3.32
Sc2 0.0000 0.0000 0.5856 x3  6 Sc 3.19, 3 Zr 3.20, 3 Pa 3.30
Pa1 0.0000 0.0000 0.8342 x3  6 Pa 3.19, 6 Sc 3.30-3.32


2.
Computed, not measured: crystalline La6DyEr2Th at its relaxed geometry at the GGA-PBE level of DFT.

Cell lengths 9.4853, 15.1435, 9.8616 Å; angles 90.00, 98.69, 90.00 degrees
Closest atoms and distances in Å follow each position.
Space group C2/c (No. 15)
Unique sites:
La1 0.0687 0.1714 0.4411 x8  6 La 3.49-3.88, 2 Er 3.53-3.73, 2 Th 3.62-3.84
La2 0.0945 0.3956 0.6198 x8  3 Er 3.34-3.50, 3 La 3.35-3.49, 2 Dy 3.42-3.63
La3 0.2086 0.2155 0.8092 x8  2 La 3.39-3.73, 1 Th 3.41, 1 Dy 3.45, 1 Er 3.53
Dy1 0.0000 0.4071 0.2500 x4  6 La 3.42-3.63, 2 Er 3.56
Er1 0.2406 0.0432 0.0526 x8  6 La 3.34-3.73, 2 Th 3.41-3.48, 1 Dy 3.56
Th1 0.0000 0.0322 0.7500 x4  4 La 3.41-3.62, 4 Er 3.41-3.48


3.
Computed, not measured: crystalline BaSc2Ta at its relaxed geometry at the GGA-PBE level of DFT.

For the energy above the most stable polymorph in this dataset, the calculation gives 246 meV/atom.

Cell lengths 3.2625, 3.2625, 34.3882 Å; angles 90.00, 90.00, 120.00 degrees
Closest atoms and distances in Å follow each position.
Space group R3m (No. 160, hexagonal axes)
Unique sites:
Ba1 0.0000 0.0000 0.0000 x3  6 Ba 3.26, 3 Ta 3.56
Sc1 0.0000 0.0000 0.5115 x3  3 Ta 2.99, 9 Sc 3.26-3.33
Sc2 0.0000 0.0000 0.7648 x3  9 Sc 3.26-3.33
Ta1 0.0000 0.0000 0.2455 x3  3 Sc 2.99, 6 Ta 3.26


Calculated density of states at the Fermi level (states/eV/f.u.), listed in the same order as above: 7.11 14.53 5.63
Calculated final energy (eV per atom), listed in the same order as above: -7.639 -4.945 -6.019
Calculated energy of formation (meV per atom), listed in the same order as above: 38 126 590